Entry from the Alexandria database: crystalline CaPaPdAu at its relaxed geometry (GGA-PBE).

Cell: 7.144 7.144 7.144 Å, 90.00 90.00 90.00°
Space group F-43m (No. 216)
Symmetry-distinct sites (fractional):
1 Ca 0.000 0.000 0.000 (multiplicity 4)
2 Pa 0.000 0.000 0.500 (multiplicity 4)
3 Pd 0.250 0.250 0.750 (multiplicity 4)
4 Au 0.250 0.250 0.250 (multiplicity 4)

## Properties
DOS at the Fermi energy	1.488	states/eV/atom
DFT formation energy	-40	kJ/mol of atoms
calculated total energy	-5.404	eV per atom
size of the total moment	0.81	μB/f.u.

***

Entry from the Alexandria database: crystalline CaPaRhAu at its relaxed geometry (GGA-PBE).

Cell: 7.052 7.052 7.052 Å, 90.00 90.00 90.00°
Space group F-43m (No. 216)
Symmetry-distinct sites (fractional):
1 Ca 0.000 0.000 0.000 (multiplicity 4)
2 Pa 0.000 0.000 0.500 (multiplicity 4)
3 Rh 0.250 0.250 0.750 (multiplicity 4)
4 Au 0.250 0.250 0.250 (multiplicity 4)

## Properties
DOS at the Fermi energy	1.169	states/eV/atom
DFT formation energy	-41	kJ/mol of atoms
calculated total energy	-5.953	eV per atom
size of the total moment	0.00	μB/f.u.

***

Entry from the Alexandria database: crystalline CaPbAu4 at its relaxed geometry (GGA-PBE).

Cell: 8.058 8.058 8.058 Å, 90.00 90.00 90.00°
Space group F-43m (No. 216)
Symmetry-distinct sites (fractional):
1 Ca 0.000 0.000 0.000 (multiplicity 4)
2 Pb 0.250 0.250 0.750 (multiplicity 4)
3 Au 0.125 0.125 0.375 (multiplicity 16)

## Properties
DOS at the Fermi energy	0.259	states/eV/atom
DFT formation energy	-38	kJ/mol of atoms
calculated total energy	-3.533	eV per atom
size of the total moment	0.00	μB/f.u.

***

Entry from the Alexandria database: crystalline CaPbAu2 at its relaxed geometry (GGA-PBE).

Cell: 10.365 3.973 4.919 Å, 90.00 110.35 90.00°
Space group Cm (No. 8)
Symmetry-distinct sites (fractional):
1 Ca 0.000 0.000 0.000 (multiplicity 2)
2 Pb 0.275 0.500 0.315 (multiplicity 2)
3 Au 0.020 0.500 0.521 (multiplicity 2)
4 Au 0.247 0.000 0.787 (multiplicity 2)

## Properties
DOS at the Fermi energy	0.319	states/eV/atom
DFT formation energy	-41	kJ/mol of atoms
calculated total energy	-3.495	eV per atom
size of the total moment	0.00	μB/f.u.